1.
# PBE Hf2NbHRh, relaxed
data_Hf2NbHRh
_cell_length_a 4.622
_cell_length_b 4.622
_cell_length_c 3.601
_cell_angle_alpha 90.00
_cell_angle_beta 90.00
_cell_angle_gamma 90.00
_space_group_name_H-M_alt 'P 1'
_space_group_IT_number 1
loop_
_space_group_symop_operation_xyz
'x,y,z'
loop_
_atom_site_label
_atom_site_fract_x
_atom_site_fract_y
_atom_site_fract_z
_atom_site_occupancy
Rh1 0.500 0.500 0.500 1
Nb1 0.000 0.000 0.500 1
Hf1 0.000 0.500 0.000 1
Hf2 0.500 0.000 0.000 1
H1 0.000 0.000 0.000 1
# Crystal system ... tetragonal
# Energy above the lowest structure with this stoichiometry ... 0 kJ/mol of formula units
# Space-group type ... P4/mmm
# DOS at the Fermi energy ... 0.730 states/eV per atom


2.
# PBE CdSn3Se4, relaxed
data_CdSn3Se4
_cell_length_a 4.230
_cell_length_b 4.230
_cell_length_c 11.947
_cell_angle_alpha 90.00
_cell_angle_beta 90.00
_cell_angle_gamma 90.00
_space_group_name_H-M_alt 'P 1'
_space_group_IT_number 1
loop_
_space_group_symop_operation_xyz
'x,y,z'
loop_
_atom_site_label
_atom_site_fract_x
_atom_site_fract_y
_atom_site_fract_z
_atom_site_occupancy
Sn1 0.500 0.500 0.756 1
Sn2 0.000 0.000 0.500 1
Sn3 0.500 0.500 0.244 1
Se1 0.000 0.000 0.243 1
Se2 0.500 0.500 0.000 1
Se3 0.000 0.000 0.757 1
Se4 0.500 0.500 0.500 1
Cd1 0.000 0.000 0.000 1
# Crystal system ... tetragonal
# Space-group type ... P4/mmm
# DOS at the Fermi energy ... 0.180 states/eV per atom
# Energy relative to the elements, uncorrected ... -42.08 kJ per mole of atoms


3.
# PBE NdSm5Y2Ho, relaxed
data_NdSm5Y2Ho
_cell_length_a 5.700
_cell_length_b 10.494
_cell_length_c 10.631
_cell_angle_alpha 90.00
_cell_angle_beta 90.00
_cell_angle_gamma 105.76
_space_group_name_H-M_alt 'P 1'
_space_group_IT_number 1
loop_
_space_group_symop_operation_xyz
'x,y,z'
loop_
_atom_site_label
_atom_site_fract_x
_atom_site_fract_y
_atom_site_fract_z
_atom_site_occupancy
Nd1 0.586 0.173 0.955 1
Nd2 0.414 0.827 0.455 1
Sm1 0.388 0.777 0.023 1
Sm2 0.719 0.438 0.813 1
Sm3 0.480 0.959 0.740 1
Sm4 0.298 0.595 0.707 1
Sm5 0.982 0.963 0.522 1
Sm6 0.612 0.223 0.523 1
Sm7 0.281 0.562 0.313 1
Sm8 0.520 0.041 0.240 1
Sm9 0.702 0.405 0.207 1
Sm10 0.018 0.037 0.022 1
Y1 0.884 0.769 0.820 1
Y2 0.113 0.225 0.733 1
Y3 0.116 0.231 0.320 1
Y4 0.887 0.775 0.233 1
Ho1 0.799 0.599 0.511 1
Ho2 0.201 0.401 0.011 1
# Crystal system ... orthorhombic
# Space-group type ... Cmc2_1
# DOS at the Fermi energy ... 1.641 states/eV per atom


4.
# PBE BaBi3Pb, relaxed
data_BaBi3Pb
_cell_length_a 6.266
_cell_length_b 6.266
_cell_length_c 6.266
_cell_angle_alpha 90.00
_cell_angle_beta 90.00
_cell_angle_gamma 90.00
_space_group_name_H-M_alt 'P 1'
_space_group_IT_number 1
loop_
_space_group_symop_operation_xyz
'x,y,z'
loop_
_atom_site_label
_atom_site_fract_x
_atom_site_fract_y
_atom_site_fract_z
_atom_site_occupancy
Pb1 0.500 0.500 0.500 1
Bi1 0.000 0.500 0.000 1
Bi2 0.000 0.000 0.500 1
Bi3 0.500 0.000 0.000 1
Ba1 0.000 0.000 0.000 1
# Crystal system ... cubic
# Energy above the lowest structure with this stoichiometry ... 499 kJ/mol of formula units
# Space-group type ... Pm-3m
# DOS at the Fermi energy ... 0.861 states/eV per atom


5.
# PBE BeZnCdIr, relaxed
data_BeZnCdIr
_cell_length_a 4.726
_cell_length_b 3.071
_cell_length_c 8.729
_cell_angle_alpha 90.00
_cell_angle_beta 108.99
_cell_angle_gamma 90.00
_space_group_name_H-M_alt 'P 1'
_space_group_IT_number 1
loop_
_space_group_symop_operation_xyz
'x,y,z'
loop_
_atom_site_label
_atom_site_fract_x
_atom_site_fract_y
_atom_site_fract_z
_atom_site_occupancy
Be1 0.134 0.000 0.646 1
Be2 0.134 0.500 0.146 1
Zn1 0.491 0.000 0.108 1
Zn2 0.491 0.500 0.608 1
Ir1 0.257 0.000 0.350 1
Ir2 0.257 0.500 0.850 1
Cd1 0.793 0.000 0.891 1
Cd2 0.793 0.500 0.391 1
# Crystal system ... monoclinic
# Energy above the lowest structure with this stoichiometry ... 66 kJ/mol of formula units
# Space-group type ... Cm
# DOS at the Fermi energy ... 0.278 states/eV per atom


6.
# PBE BaCuRh2, relaxed
data_BaCuRh2
_cell_length_a 4.845
_cell_length_b 4.845
_cell_length_c 9.376
_cell_angle_alpha 75.03
_cell_angle_beta 75.03
_cell_angle_gamma 90.00
_space_group_name_H-M_alt 'P 1'
_space_group_IT_number 1
loop_
_space_group_symop_operation_xyz
'x,y,z'
loop_
_atom_site_label
_atom_site_fract_x
_atom_site_fract_y
_atom_site_fract_z
_atom_site_occupancy
Rh1 0.376 0.125 0.250 1
Rh2 0.374 0.625 0.250 1
Rh3 0.375 0.624 0.750 1
Rh4 0.875 0.626 0.750 1
Ba1 0.000 0.000 0.000 1
Ba2 0.750 0.250 0.500 1
Cu1 0.500 0.500 0.000 1
Cu2 0.250 0.750 0.500 1
# Crystal system ... tetragonal
# Energy above the lowest structure with this stoichiometry ... 123 kJ/mol of formula units
# Space-group type ... I-42d
# DOS at the Fermi energy ... 1.083 states/eV per atom


7.
# PBE Ac2Pm6Ge3, relaxed
data_Ac2Pm6Ge3
_cell_length_a 5.035
_cell_length_b 9.071
_cell_length_c 9.071
_cell_angle_alpha 120.00
_cell_angle_beta 90.00
_cell_angle_gamma 90.00
_space_group_name_H-M_alt 'P 1'
_space_group_IT_number 1
loop_
_space_group_symop_operation_xyz
'x,y,z'
loop_
_atom_site_label
_atom_site_fract_x
_atom_site_fract_y
_atom_site_fract_z
_atom_site_occupancy
Ac1 0.000 0.667 0.333 1
Ac2 0.000 0.333 0.667 1
Pm1 0.500 0.722 0.722 1
Pm2 0.500 0.000 0.278 1
Pm3 0.000 0.228 0.228 1
Pm4 0.000 0.772 0.000 1
Pm5 0.500 0.278 0.000 1
Pm6 0.000 0.000 0.772 1
Ge1 0.500 0.395 0.395 1
Ge2 0.500 0.605 0.000 1
Ge3 0.500 0.000 0.605 1
# Crystal system ... hexagonal
# Space-group type ... P-62m
# DOS at the Fermi energy ... 1.025 states/eV per atom


8.
# PBE Cd3NiIr, relaxed
data_Cd3NiIr
_cell_length_a 4.740
_cell_length_b 4.740
_cell_length_c 4.740
_cell_angle_alpha 90.00
_cell_angle_beta 90.00
_cell_angle_gamma 90.00
_space_group_name_H-M_alt 'P 1'
_space_group_IT_number 1
loop_
_space_group_symop_operation_xyz
'x,y,z'
loop_
_atom_site_label
_atom_site_fract_x
_atom_site_fract_y
_atom_site_fract_z
_atom_site_occupancy
Ni1 0.000 0.000 0.000 1
Ir1 0.500 0.500 0.500 1
Cd1 0.000 0.500 0.000 1
Cd2 0.000 0.000 0.500 1
Cd3 0.500 0.000 0.000 1
# Crystal system ... cubic
# Energy above the lowest structure with this stoichiometry ... 0 kJ/mol of formula units
# Space-group type ... Pm-3m
# DOS at the Fermi energy ... 0.756 states/eV per atom


9.
# PBE Ac4CoPCl2, relaxed
data_Ac4CoPCl2
_cell_length_a 4.188
_cell_length_b 7.871
_cell_length_c 7.923
_cell_angle_alpha 107.40
_cell_angle_beta 90.00
_cell_angle_gamma 90.00
_space_group_name_H-M_alt 'P 1'
_space_group_IT_number 1
loop_
_space_group_symop_operation_xyz
'x,y,z'
loop_
_atom_site_label
_atom_site_fract_x
_atom_site_fract_y
_atom_site_fract_z
_atom_site_occupancy
Ac1 0.500 0.246 0.219 1
Ac2 0.500 0.754 0.781 1
Ac3 0.000 0.286 0.799 1
Ac4 0.000 0.714 0.201 1
Co1 0.500 0.500 0.000 1
P1 0.000 0.000 0.000 1
Cl1 0.500 0.000 0.500 1
Cl2 0.000 0.500 0.500 1
# Crystal system ... monoclinic
# Space-group type ... P2/m
# DOS at the Fermi energy ... 0.711 states/eV per atom
# Energy relative to the elements, uncorrected ... -111.53 kJ per mole of atoms


10.
# PBE ZrTeBr2, relaxed
data_ZrTeBr2
_cell_length_a 3.830
_cell_length_b 7.450
_cell_length_c 7.450
_cell_angle_alpha 44.46
_cell_angle_beta 90.00
_cell_angle_gamma 90.00
_space_group_name_H-M_alt 'P 1'
_space_group_IT_number 1
loop_
_space_group_symop_operation_xyz
'x,y,z'
loop_
_atom_site_label
_atom_site_fract_x
_atom_site_fract_y
_atom_site_fract_z
_atom_site_occupancy
Te1 0.500 0.250 0.250 1
Br1 0.000 0.890 0.890 1
Br2 0.000 0.610 0.610 1
Zr1 0.500 0.750 0.750 1
# Crystal system ... orthorhombic
# Energy above the lowest structure with this stoichiometry ... 34 kJ/mol of formula units
# Space-group type ... Cmmm
# DOS at the Fermi energy ... 0.297 states/eV per atom
# Energy relative to the elements, uncorrected ... -95.82 kJ per mole of atoms


11.
# PBE PmPrPd6, relaxed
data_PmPrPd6
_cell_length_a 4.206
_cell_length_b 4.206
_cell_length_c 8.402
_cell_angle_alpha 90.00
_cell_angle_beta 90.00
_cell_angle_gamma 90.00
_space_group_name_H-M_alt 'P 1'
_space_group_IT_number 1
loop_
_space_group_symop_operation_xyz
'x,y,z'
loop_
_atom_site_label
_atom_site_fract_x
_atom_site_fract_y
_atom_site_fract_z
_atom_site_occupancy
Pm1 0.000 0.000 0.000 1
Pr1 0.000 0.000 0.500 1
Pd1 0.500 0.500 0.000 1
Pd2 0.500 0.500 0.500 1
Pd3 0.500 0.000 0.247 1
Pd4 0.500 0.000 0.753 1
Pd5 0.000 0.500 0.247 1
Pd6 0.000 0.500 0.753 1
# Crystal system ... tetragonal
# Energy above the lowest structure with this stoichiometry ... 0 kJ/mol of formula units
# Space-group type ... P4/mmm
# DOS at the Fermi energy ... 0.671 states/eV per atom


12.
# PBE Sb2PbCl, relaxed
data_Sb2PbCl
_cell_length_a 5.338
_cell_length_b 5.338
_cell_length_c 5.338
_cell_angle_alpha 60.00
_cell_angle_beta 60.00
_cell_angle_gamma 60.00
_space_group_name_H-M_alt 'P 1'
_space_group_IT_number 1
loop_
_space_group_symop_operation_xyz
'x,y,z'
loop_
_atom_site_label
_atom_site_fract_x
_atom_site_fract_y
_atom_site_fract_z
_atom_site_occupancy
Cl1 0.500 0.500 0.500 1
Pb1 0.750 0.750 0.750 1
Sb1 0.000 0.000 0.000 1
Sb2 0.250 0.250 0.250 1
# Crystal system ... cubic
# Energy above the lowest structure with this stoichiometry ... 44 kJ/mol of formula units
# Space-group type ... F-43m
# DOS at the Fermi energy ... 0.459 states/eV per atom
# Energy relative to the elements, uncorrected ... -12.39 kJ per mole of atoms


| no. | M_tot (μB per formula unit) | final energy (eV per cell) |
| --- | --- | --- |
| 1 | 0.000 | -42.57 |
| 2 | 0.000 | -30.35 |
| 3 | 0.000 | -89.09 |
| 4 | 0.000 | -13.47 |
| 5 | 0.000 | -29.65 |
| 6 | 0.000 | -39.77 |
| 7 | 0.000 | -53.80 |
| 8 | 0.000 | -12.96 |
| 9 | 0.000 | -41.89 |
| 10 | 0.000 | -19.01 |
| 11 | 0.000 | -46.77 |
| 12 | 0.000 | -14.31 |